Record 1
A relaxed KPmSn2 crystal. Source: Alexandria, functional GGA-PBE.

Cell: 12.207 12.207 12.207 Å, 16.96 16.96 16.96°
Positions (direct):
K (0.000, 0.000, 0.000)
Pm (0.500, 0.500, 0.500)
Sn (0.093, 0.093, 0.093)
Sn (0.907, 0.907, 0.907)

Properties
- ρ: 5.2 g/cm³
- SG: R-3m, No. 166
- Calculated formation energy: -74 meV per atom
- Total energy: -3.54 eV per atom



Record 2
A relaxed KPmSn2 crystal. Source: Alexandria, functional GGA-PBE.

Cell: 5.590 5.590 5.590 Å, 60.00 60.00 60.00°
Positions (direct):
K (0.000, 0.000, 0.000)
Pm (0.500, 0.500, 0.500)
Sn (0.250, 0.250, 0.250)
Sn (0.750, 0.750, 0.750)

Properties
- ρ: 5.7 g/cm³
- SG: Fm-3m, No. 225
- Calculated formation energy: -235 meV per atom
- Total energy: -3.70 eV per atom



Record 3
A relaxed KPmSn2 crystal. Source: Alexandria, functional GGA-PBE.

Cell: 5.029 5.029 4.707 Å, 90.00 90.00 90.00°
Positions (direct):
K (0.000, 0.000, 0.000)
Pm (0.500, 0.500, 0.000)
Sn (0.000, 0.500, 0.500)
Sn (0.500, 0.000, 0.500)

Properties
- ρ: 5.9 g/cm³
- SG: P4/mmm, No. 123
- Calculated formation energy: -301 meV per atom
- Total energy: -3.76 eV per atom



Q: Which value of ρ does entry 2 give?
A: 5.7 g/cm³